# 1
DFT (PBE-GGA) results for crystalline KCuSnSe3 at its relaxed geometry.

Geometry as POSCAR:
```
KCuSnSe3
1.0
-5.225 1.237 -9.432
-4.734 -5.612 1.886
-6.431 -2.349 3.254
Cu K Se Sn
2 2 6 2
Direct
0.500 0.453 0.453
0.000 0.547 0.547
0.000 0.257 0.257
0.500 0.743 0.743
0.500 0.057 0.057
0.302 0.372 0.372
0.698 0.372 0.372
0.198 0.628 0.628
0.802 0.628 0.628
0.000 0.943 0.943
0.250 0.000 0.000
0.750 0.000 0.000
```

Output
- Energy above the most stable polymorph in this dataset: 0.047 eV/atom


# 2
DFT (PBE-GGA) results for crystalline CuN at its relaxed geometry.

Geometry as POSCAR:
```
CuN
1.0
-1.748 0.435 -2.293
-1.116 -0.924 2.530
-0.681 4.674 1.406
Cu N
2 2
Direct
0.000 0.000 0.000
0.000 0.000 0.500
0.667 0.333 0.250
0.333 0.667 0.750
```

Output
- Energy above the most stable polymorph in this dataset: 0.247 eV/atom


# 3
DFT (PBE-GGA) results for crystalline TbFe2W2 at its relaxed geometry.

Geometry as POSCAR:
```
TbFe2W2
1.0
-2.086 2.086 4.996
2.086 -2.086 4.996
2.086 2.086 -4.996
Fe Tb W
2 1 2
Direct
0.750 0.250 0.500
0.250 0.750 0.500
0.000 0.000 0.000
0.367 0.367 0.000
0.633 0.633 0.000
```

Output
- Energy above the most stable polymorph in this dataset: 0.263 eV/atom
- Energy relative to the elements: 7.6 kcal/mol of atoms


# 4
DFT (PBE-GGA) results for crystalline Li4GaCu2Pb at its relaxed geometry.

Geometry as POSCAR:
```
Li4GaCu2Pb
1.0
-1.400 -2.446 -3.295
1.355 -3.561 2.068
-5.662 -0.530 2.799
Cu Ga Li Pb
2 1 4 1
Direct
0.000 0.500 0.279
0.500 0.000 0.721
0.000 0.000 0.500
0.000 0.000 0.000
0.500 0.000 0.275
0.500 0.500 0.500
0.000 0.500 0.725
0.500 0.500 0.000
```

Output
- Energy: -2.953 eV/atom


# 5
DFT (PBE-GGA) results for crystalline ThNi4Au at its relaxed geometry.

Geometry as POSCAR:
```
ThNi4Au
1.0
-1.861 -3.421 3.160
-4.607 0.581 1.897
-3.721 -3.020 -1.480
Au Ni Th
1 4 1
Direct
0.000 0.000 0.000
0.626 0.626 0.122
0.626 0.122 0.626
0.122 0.626 0.626
0.626 0.626 0.626
0.250 0.250 0.250
```

Output
- Energy relative to the elements: -10.4 kcal/mol of atoms


# 6
DFT (PBE-GGA) results for crystalline MgScGaPd at its relaxed geometry.

Geometry as POSCAR:
```
MgScGaPd
1.0
3.622 -2.163 -1.945
-0.285 -4.514 -1.059
-0.205 -1.334 -4.445
Ga Mg Pd Sc
1 1 1 1
Direct
0.000 0.000 0.000
0.750 0.750 0.750
0.500 0.500 0.500
0.250 0.250 0.250
```

Output
- Energy above the most stable polymorph in this dataset: 0.000 eV/atom


# 7
DFT (PBE-GGA) results for crystalline ZnSe at its relaxed geometry.

Geometry as POSCAR:
```
ZnSe
1.0
-1.721 1.484 -2.955
-1.707 -0.064 3.314
1.303 2.962 0.729
Se Zn
1 1
Direct
0.667 0.333 0.750
0.333 0.667 0.250
```

Output
- Energy: -2.574 eV/atom


# 8
DFT (PBE-GGA) results for crystalline BeNb2Ni at its relaxed geometry.

Geometry as POSCAR:
```
BeNb2Ni
1.0
0.000 3.062 3.062
3.062 0.000 3.062
3.062 3.062 0.000
Be Nb Ni
1 2 1
Direct
0.500 0.500 0.500
0.000 0.000 0.000
0.750 0.750 0.750
0.250 0.250 0.250
```

Output
- Energy: -7.052 eV/atom


# 9
DFT (PBE-GGA) results for crystalline YPuGa at its relaxed geometry.

Geometry as POSCAR:
```
YPuGa
1.0
1.100 -4.587 0.758
2.589 -1.236 3.820
-2.044 -2.383 3.601
Ga Pu Y
1 1 1
Direct
0.250 0.250 0.250
0.750 0.750 0.750
0.000 0.000 0.000
```

Output
- Energy: -7.539 eV/atom